[1]
{"formula": "LuPaFe", "functional": "PBE", "state": "optimized geometry", "delta_e_f_ev_per_atom": -0.057, "magnetic_moment_mub_per_cell": 0.00, "crystal_system": "tetragonal", "e_tot_ev_per_atom": -7.55, "lattice_angstrom": [[-1.679, 1.679, 5.460], [1.679, -1.679, 5.460], [1.679, 1.679, -5.460]], "species": ["Lu", "Pa", "Fe"], "frac_coords": [[0.000, 0.000, 0.000], [0.292, 0.292, 0.000], [0.690, 0.690, 0.000]]}


[2]
{"formula": "LuPaFe2", "functional": "PBE", "state": "optimized geometry", "delta_e_f_ev_per_atom": -0.104, "magnetic_moment_mub_per_cell": 0.93, "crystal_system": "tetragonal", "e_tot_ev_per_atom": -7.84, "lattice_angstrom": [[3.291, 0.000, 0.000], [0.000, 3.291, 0.000], [0.000, 0.000, 6.637]], "species": ["Lu", "Pa", "Fe", "Fe"], "frac_coords": [[0.000, 0.000, 0.000], [0.000, 0.000, 0.500], [0.500, 0.500, 0.289], [0.500, 0.500, 0.711]]}


[3]
{"formula": "LuPaFe4", "functional": "PBE", "state": "optimized geometry", "delta_e_f_ev_per_atom": -0.143, "magnetic_moment_mub_per_cell": 5.98, "crystal_system": "cubic", "e_tot_ev_per_atom": -8.12, "lattice_angstrom": [[0.000, 3.583, 3.583], [3.583, 0.000, 3.583], [3.583, 3.583, 0.000]], "species": ["Lu", "Pa", "Fe", "Fe", "Fe", "Fe"], "frac_coords": [[0.000, 0.000, 0.000], [0.250, 0.250, 0.250], [0.125, 0.625, 0.625], [0.625, 0.125, 0.625], [0.625, 0.625, 0.125], [0.625, 0.625, 0.625]]}


[4]
{"formula": "LuPaFePd", "functional": "PBE", "state": "optimized geometry", "delta_e_f_ev_per_atom": -0.248, "magnetic_moment_mub_per_cell": 0.67, "crystal_system": "cubic", "e_tot_ev_per_atom": -7.17, "lattice_angstrom": [[0.000, 3.406, 3.406], [3.406, 0.000, 3.406], [3.406, 3.406, 0.000]], "species": ["Lu", "Pa", "Fe", "Pd"], "frac_coords": [[0.000, 0.000, 0.000], [0.500, 0.500, 0.500], [0.250, 0.250, 0.250], [0.750, 0.750, 0.750]]}


[5]
{"formula": "LuPaFePt", "functional": "PBE", "state": "optimized geometry", "delta_e_f_ev_per_atom": -0.446, "magnetic_moment_mub_per_cell": 0.88, "crystal_system": "cubic", "e_tot_ev_per_atom": -7.58, "lattice_angstrom": [[0.000, 3.418, 3.418], [3.418, 0.000, 3.418], [3.418, 3.418, 0.000]], "species": ["Lu", "Pa", "Fe", "Pt"], "frac_coords": [[0.000, 0.000, 0.000], [0.500, 0.500, 0.500], [0.750, 0.750, 0.750], [0.250, 0.250, 0.250]]}


[6]
{"formula": "LuPaFeTc", "functional": "PBE", "state": "optimized geometry", "delta_e_f_ev_per_atom": -0.122, "magnetic_moment_mub_per_cell": 0.10, "crystal_system": "cubic", "e_tot_ev_per_atom": -8.33, "lattice_angstrom": [[0.000, 3.350, 3.350], [3.350, 0.000, 3.350], [3.350, 3.350, 0.000]], "species": ["Lu", "Pa", "Fe", "Tc"], "frac_coords": [[0.000, 0.000, 0.000], [0.500, 0.500, 0.500], [0.750, 0.750, 0.750], [0.250, 0.250, 0.250]]}


[7]
{"formula": "LuFe4Pb", "functional": "PBE", "state": "optimized geometry", "delta_e_f_ev_per_atom": 0.026, "magnetic_moment_mub_per_cell": 7.58, "crystal_system": "cubic", "e_tot_ev_per_atom": -6.99, "lattice_angstrom": [[0.000, 3.575, 3.575], [3.575, 0.000, 3.575], [3.575, 3.575, 0.000]], "species": ["Lu", "Fe", "Fe", "Fe", "Fe", "Pb"], "frac_coords": [[0.000, 0.000, 0.000], [0.123, 0.626, 0.626], [0.626, 0.123, 0.626], [0.626, 0.626, 0.123], [0.626, 0.626, 0.626], [0.250, 0.250, 0.250]]}


[8]
{"formula": "Lu2FePb", "functional": "PBE", "state": "optimized geometry", "delta_e_f_ev_per_atom": 0.171, "magnetic_moment_mub_per_cell": 0.93, "crystal_system": "trigonal", "e_tot_ev_per_atom": -5.13, "lattice_angstrom": [[1.754, 1.013, 9.828], [-1.754, 1.013, 9.828], [0.000, -2.026, 9.828]], "species": ["Lu", "Lu", "Fe", "Pb"], "frac_coords": [[0.108, 0.108, 0.108], [0.892, 0.892, 0.892], [0.500, 0.500, 0.500], [0.000, 0.000, 0.000]]}


[9]
{"formula": "Lu2FePb", "functional": "PBE", "state": "optimized geometry", "delta_e_f_ev_per_atom": -0.200, "magnetic_moment_mub_per_cell": 0.00, "crystal_system": "tetragonal", "e_tot_ev_per_atom": -5.50, "lattice_angstrom": [[3.309, 0.000, 0.000], [0.000, 3.309, 0.000], [0.000, 0.000, 8.117]], "species": ["Lu", "Lu", "Fe", "Pb"], "frac_coords": [[0.000, 0.000, 0.194], [0.000, 0.000, 0.806], [0.500, 0.500, 0.000], [0.500, 0.500, 0.500]]}


[10]
{"formula": "Lu3FePb", "functional": "PBE", "state": "optimized geometry", "delta_e_f_ev_per_atom": -0.079, "magnetic_moment_mub_per_cell": 0.00, "crystal_system": "cubic", "e_tot_ev_per_atom": -5.23, "lattice_angstrom": [[5.050, 0.000, 0.000], [0.000, 5.050, 0.000], [0.000, 0.000, 5.050]], "species": ["Lu", "Lu", "Lu", "Fe", "Pb"], "frac_coords": [[0.000, 0.000, 0.500], [0.000, 0.500, 0.000], [0.500, 0.000, 0.000], [0.000, 0.000, 0.000], [0.500, 0.500, 0.500]]}


[11]
{"formula": "Lu12Fe2Pb3", "functional": "PBE", "state": "optimized geometry", "delta_e_f_ev_per_atom": -0.235, "magnetic_moment_mub_per_cell": 1.36, "crystal_system": "tetragonal", "e_tot_ev_per_atom": -5.08, "lattice_angstrom": [[-4.759, 4.759, 4.904], [4.759, -4.759, 4.904], [4.759, 4.759, -4.904]], "species": ["Lu", "Lu", "Lu", "Lu", "Lu", "Lu", "Lu", "Lu", "Lu", "Lu", "Lu", "Lu", "Fe", "Fe", "Pb", "Pb", "Pb"], "frac_coords": [[0.030, 0.784, 0.245], [0.216, 0.461, 0.245], [0.216, 0.970, 0.755], [0.306, 0.306, 0.611], [0.306, 0.694, 0.000], [0.461, 0.216, 0.245], [0.539, 0.784, 0.755], [0.694, 0.306, 0.000], [0.694, 0.694, 0.389], [0.784, 0.030, 0.245], [0.784, 0.539, 0.755], [0.970, 0.216, 0.755], [0.387, 0.387, 0.000], [0.613, 0.613, 0.000], [0.000, 0.000, 0.000], [0.000, 0.500, 0.500], [0.500, 0.000, 0.500]]}


[12]
{"formula": "LuFe4Pd", "functional": "PBE", "state": "optimized geometry", "delta_e_f_ev_per_atom": -0.144, "magnetic_moment_mub_per_cell": 9.69, "crystal_system": "cubic", "e_tot_ev_per_atom": -7.40, "lattice_angstrom": [[0.000, 3.502, 3.502], [3.502, 0.000, 3.502], [3.502, 3.502, 0.000]], "species": ["Lu", "Fe", "Fe", "Fe", "Fe", "Pd"], "frac_coords": [[0.000, 0.000, 0.000], [0.124, 0.625, 0.625], [0.625, 0.124, 0.625], [0.625, 0.625, 0.124], [0.625, 0.625, 0.625], [0.250, 0.250, 0.250]]}